Record 1
LaBe3Pt | PBE-GGA | optimized geometry

```
data_LaBe3Pt
_chemical_formula_sum 'La1 Be3 Pt1'
_cell_length_a 4.647
_cell_length_b 4.647
_cell_length_c 4.647
_cell_angle_alpha 90.00
_cell_angle_beta 90.00
_cell_angle_gamma 90.00
_space_group_name_H-M_alt 'P m -3 m'
_space_group_IT_number 221
_space_group_name_Hall '-P 4 2 3'
loop_
_atom_site_label
_atom_site_type_symbol
_atom_site_fract_x
_atom_site_fract_y
_atom_site_fract_z
La1 La 0.000 0.000 0.000
Be1 Be 0.000 0.000 0.500
Pt1 Pt 0.500 0.500 0.500
```

* calculated formation energy: 2.13 eV/atom
* magnetization: 0.0 μB per cell
* calculated volume: 100.4 Å³/cell
* uncorrected energy: -2.295 eV/atom

Record 2
La2NiGe2H4 | PBE-GGA | optimized geometry

```
data_La2NiGe2H4
_chemical_formula_sum 'La4 Ni2 Ge4 H8'
_cell_length_a 5.931
_cell_length_b 5.931
_cell_length_c 7.613
_cell_angle_alpha 90.00
_cell_angle_beta 90.00
_cell_angle_gamma 90.00
_space_group_name_H-M_alt 'I 4/m m m'
_space_group_IT_number 139
_space_group_name_Hall '-I 4 2'
loop_
_atom_site_label
_atom_site_type_symbol
_atom_site_fract_x
_atom_site_fract_y
_atom_site_fract_z
La1 La 0.000 0.500 0.250
Ni1 Ni 0.000 0.000 0.000
Ge1 Ge 0.000 0.000 0.335
H1 H 0.188 0.188 0.000
```

* magnetization: 0.0 μB per cell
* calculated volume: 267.7 Å³/cell
* uncorrected energy: -4.526 eV/atom

Record 3
Ho3Tl3ZnTe8 | PBE-GGA | optimized geometry

```
data_Ho3Tl3ZnTe8
_chemical_formula_sum 'Ho6 Tl6 Zn2 Te16'
_cell_length_a 15.031
_cell_length_b 8.672
_cell_length_c 9.596
_cell_angle_alpha 90.00
_cell_angle_beta 121.52
_cell_angle_gamma 90.00
_space_group_name_H-M_alt 'C 1 2/m 1'
_space_group_IT_number 12
loop_
_space_group_symop_operation_xyz
'x,y,z'
'-x,-y,-z'
'-x,y,-z'
'x,-y,z'
'x+1/2,y+1/2,z'
'-x+1/2,-y+1/2,-z'
'-x+1/2,y+1/2,-z'
'x+1/2,-y+1/2,z'
loop_
_atom_site_label
_atom_site_type_symbol
_atom_site_fract_x
_atom_site_fract_y
_atom_site_fract_z
Ho1 Ho 0.000 0.000 0.000
Ho2 Ho 0.250 0.250 0.000
Tl1 Tl 0.000 0.500 0.500
Tl2 Tl 0.250 0.250 0.500
Zn1 Zn 0.000 0.500 0.000
Te1 Te 0.012 0.259 0.794
Te2 Te 0.228 0.500 0.204
Te3 Te 0.239 0.000 0.217
```

* magnetization: 0.0 μB per cell
* calculated volume: 1066.3 Å³/cell
* formation energy from raw total energies: -0.7637 eV/atom
* uncorrected energy: -3.913 eV/atom

Record 4
Ca3ZrPb | PBE-GGA | optimized geometry

```
data_Ca3ZrPb
_chemical_formula_sum 'Ca3 Zr1 Pb1'
_cell_length_a 5.713
_cell_length_b 5.713
_cell_length_c 5.713
_cell_angle_alpha 90.00
_cell_angle_beta 90.00
_cell_angle_gamma 90.00
_space_group_name_H-M_alt 'P m -3 m'
_space_group_IT_number 221
_space_group_name_Hall '-P 4 2 3'
loop_
_atom_site_label
_atom_site_type_symbol
_atom_site_fract_x
_atom_site_fract_y
_atom_site_fract_z
Ca1 Ca 0.000 0.000 0.500
Zr1 Zr 0.000 0.000 0.000
Pb1 Pb 0.500 0.500 0.500
```

* calculated formation energy: 0.78 eV/atom
* magnetization: 0.0 μB per cell
* calculated volume: 186.5 Å³/cell
* uncorrected energy: -2.873 eV/atom

Record 5
PuAgBi2 | PBE-GGA | optimized geometry

```
data_PuAgBi2
_chemical_formula_sum 'Pu4 Ag4 Bi8'
_cell_length_a 6.379
_cell_length_b 10.294
_cell_length_c 6.545
_cell_angle_alpha 90.00
_cell_angle_beta 90.00
_cell_angle_gamma 90.00
_space_group_name_H-M_alt 'C m m e'
_space_group_IT_number 67
_space_group_name_Hall '-C 2a 2'
loop_
_atom_site_label
_atom_site_type_symbol
_atom_site_fract_x
_atom_site_fract_y
_atom_site_fract_z
Pu1 Pu 0.000 0.250 0.215
Ag1 Ag 0.250 0.000 0.500
Bi1 Bi 0.000 0.250 0.697
Bi2 Bi 0.250 0.000 0.000
```

* calculated formation energy: -0.15 eV/atom
* magnetization: 22.3 μB per cell
* calculated volume: 429.8 Å³/cell
* uncorrected energy: -6.384 eV/atom

Record 6
Rb2YInC | PBE-GGA | optimized geometry

```
data_Rb2YInC
_chemical_formula_sum 'Rb2 Y1 In1 C1'
_cell_length_a 6.644
_cell_length_b 6.644
_cell_length_c 4.452
_cell_angle_alpha 90.00
_cell_angle_beta 90.00
_cell_angle_gamma 90.00
_space_group_name_H-M_alt 'P 4/m m m'
_space_group_IT_number 123
_space_group_name_Hall '-P 4 2'
loop_
_atom_site_label
_atom_site_type_symbol
_atom_site_fract_x
_atom_site_fract_y
_atom_site_fract_z
Rb1 Rb 0.000 0.500 0.000
Y1 Y 0.000 0.000 0.500
In1 In 0.500 0.500 0.500
C1 C 0.000 0.000 0.000
```

* calculated formation energy: 0.69 eV/atom
* magnetization: 0.0 μB per cell
* calculated volume: 196.6 Å³/cell
* uncorrected energy: -3.380 eV/atom

Record 7
Fe4SnP12 | PBE-GGA | optimized geometry

```
data_Fe4SnP12
_chemical_formula_sum 'Fe8 Sn2 P24'
_cell_length_a 7.828
_cell_length_b 7.828
_cell_length_c 7.828
_cell_angle_alpha 90.00
_cell_angle_beta 90.00
_cell_angle_gamma 90.00
_space_group_name_H-M_alt 'I m -3'
_space_group_IT_number 204
_space_group_name_Hall '-I 2 2 3'
loop_
_atom_site_label
_atom_site_type_symbol
_atom_site_fract_x
_atom_site_fract_y
_atom_site_fract_z
Fe1 Fe 0.250 0.250 0.250
Sn1 Sn 0.000 0.000 0.000
P1 P 0.000 0.149 0.354
```

* calculated formation energy: -0.32 eV/atom
* magnetization: 1.9 μB per cell
* calculated volume: 479.8 Å³/cell
* uncorrected energy: -6.363 eV/atom

Record 8
La8FePt3I4 | PBE-GGA | optimized geometry

```
data_La8FePt3I4
_chemical_formula_sum 'La24 Fe3 Pt9 I12'
_cell_length_a 8.5697
_cell_length_b 8.5697
_cell_length_c 24.6758
_cell_angle_alpha 90.00
_cell_angle_beta 90.00
_cell_angle_gamma 120.00
_space_group_name_H-M_alt 'R -3 m'
_space_group_IT_number 166
_space_group_name_Hall '-R 3 2"'
loop_
_atom_site_label
_atom_site_type_symbol
_atom_site_fract_x
_atom_site_fract_y
_atom_site_fract_z
La1 La 0.0000 0.0000 0.2292
La2 La 0.0177 0.5088 0.2284
Fe1 Fe 0.0000 0.0000 0.5000
Pt1 Pt 0.0000 0.5000 0.5000
I1 I 0.0000 0.0000 0.0000
I2 I 0.0000 0.5000 0.0000
```

* magnetization: 0.0 μB per cell
* calculated volume: 1569.3 Å³/cell
* formation energy from raw total energies: -1.0578 eV/atom
* uncorrected energy: -5.571 eV/atom